! GGA-PBE MoBr2Cl, relaxed; values from VASP
! **ΔE_f (raw)**: -17 kJ/mol of atoms
! **Energy above the most stable polymorph in this dataset**: 0.334 eV/atom
! **Total moment**: 2.19 Bohr magnetons per cell
! **N(E_F)**: 1.1 states/eV/f.u.
! **Total energy**: -16.71 eV per cell
&SYSTEM
  ibrav = 0, nat = 4, ntyp = 3
/
ATOMIC_SPECIES
Cl 35.45 Cl.upf
Br 79.90 Br.upf
Mo 95.94 Mo.upf
CELL_PARAMETERS angstrom
7.9534 0.0968 -0.0034
5.8065 5.4360 0.0034
-6.4705 -3.7847 2.6598
ATOMIC_POSITIONS crystal
Cl 0.7500 0.2500 0.5000
Br 0.1092 0.1092 0.0000
Br 0.3908 0.3908 0.0000
Mo 0.2500 0.7500 0.5000